[1]
DFT (PBE) results for crystalline Y4OsRh at its relaxed geometry. Values from VASP.

Cell and atoms, written as Quantum ESPRESSO input:
```
&SYSTEM
  ibrav = 0, nat = 12, ntyp = 3
/
ATOMIC_SPECIES
Y 88.91 Y.upf
Os 190.23 Os.upf
Rh 102.91 Rh.upf
CELL_PARAMETERS angstrom
-4.369 -2.374 4.726
-3.668 -3.058 -4.927
3.768 -5.676 0.718
ATOMIC_POSITIONS crystal
Y 0.662 0.665 0.668
Y 0.667 0.165 0.838
Y 0.833 0.665 0.162
Y 0.838 0.165 0.332
Y 0.167 0.335 0.838
Y 0.333 0.835 0.162
Y 0.162 0.835 0.668
Y 0.338 0.335 0.332
Os 0.000 0.000 0.000
Os 0.500 0.500 0.000
Rh 0.500 0.000 0.500
Rh 0.000 0.500 0.500
```

Properties
For the calculated formation energy, the calculation gives -0.36 eV per atom. As for the space-group type: P2_1/c (14). As for the density of states at the Fermi level: 7.2 states/eV/cell.



[2]
DFT (PBE) results for crystalline NaNbTl2Se4 at its relaxed geometry. Values from VASP.

Cell and atoms, written as Quantum ESPRESSO input:
```
&SYSTEM
  ibrav = 0, nat = 8, ntyp = 4
/
ATOMIC_SPECIES
Nb 92.91 Nb.upf
Tl 204.38 Tl.upf
Na 22.99 Na.upf
Se 78.96 Se.upf
CELL_PARAMETERS angstrom
0.042 7.942 0.405
-0.599 -4.623 -6.443
-5.922 -5.012 1.748
ATOMIC_POSITIONS crystal
Nb 0.000 0.500 0.500
Tl 0.000 0.000 0.000
Tl 0.500 0.750 0.250
Na 0.500 0.250 0.750
Se 0.034 0.203 0.609
Se 0.595 0.391 0.425
Se 0.966 0.575 0.170
Se 0.405 0.830 0.797
```

Properties
The formation energy without anion corrections is -0.657 eV per atom. As for the space-group type: I-4 (82).



[3]
DFT (PBE) results for crystalline TmReSi2 at its relaxed geometry. Values from VASP.

Cell and atoms, written as Quantum ESPRESSO input:
```
&SYSTEM
  ibrav = 0, nat = 4, ntyp = 3
/
ATOMIC_SPECIES
Si 28.09 Si.upf
Tm 168.93 Tm.upf
Re 186.21 Re.upf
CELL_PARAMETERS angstrom
3.251 0.000 0.000
1.626 2.816 0.000
1.626 0.939 7.846
ATOMIC_POSITIONS crystal
Si 0.263 0.263 0.210
Si 0.737 0.737 0.790
Tm 0.500 0.500 0.500
Re 0.000 0.000 0.000
```

Properties
The formation energy without anion corrections is -0.043 eV per atom. As for the space-group type: R-3m (166). As for the density of states at the Fermi level: 1.4 states/eV/cell.



[4]
DFT (PBE) results for crystalline RbCeNd2 at its relaxed geometry. Values from VASP.

Cell and atoms, written as Quantum ESPRESSO input:
```
&SYSTEM
  ibrav = 0, nat = 4, ntyp = 3
/
ATOMIC_SPECIES
Nd 144.24 Nd.upf
Rb 85.47 Rb.upf
Ce 140.12 Ce.upf
CELL_PARAMETERS angstrom
4.307 0.000 0.000
2.154 3.730 0.000
2.154 1.243 10.795
ATOMIC_POSITIONS crystal
Nd 0.881 0.881 0.358
Nd 0.119 0.119 0.642
Rb 0.000 0.000 0.000
Ce 0.500 0.500 0.500
```

Properties
For the calculated formation energy, the calculation gives 0.69 eV per atom. As for the space-group type: R-3m (166). As for the density of states at the Fermi level: 7.1 states/eV/cell.



[5]
DFT (PBE) results for crystalline ScCoHg2 at its relaxed geometry. Values from VASP.

Cell and atoms, written as Quantum ESPRESSO input:
```
&SYSTEM
  ibrav = 0, nat = 4, ntyp = 3
/
ATOMIC_SPECIES
Sc 44.96 Sc.upf
Hg 200.59 Hg.upf
Co 58.93 Co.upf
CELL_PARAMETERS angstrom
5.251 -0.125 0.020
4.020 3.381 0.020
2.009 0.706 4.058
ATOMIC_POSITIONS crystal
Sc 0.528 0.528 0.472
Hg 0.982 0.982 0.018
Hg 0.752 0.752 0.748
Co 0.238 0.238 0.262
```

Properties
For the calculated formation energy, the calculation gives 0.02 eV per atom. As for the space-group type: Cm (8). As for the density of states at the Fermi level: 2.5 states/eV/cell.



[6]
DFT (PBE) results for crystalline PrSmMgAu at its relaxed geometry. Values from VASP.

Cell and atoms, written as Quantum ESPRESSO input:
```
&SYSTEM
  ibrav = 0, nat = 4, ntyp = 4
/
ATOMIC_SPECIES
Mg 24.30 Mg.upf
Sm 150.36 Sm.upf
Au 196.97 Au.upf
Pr 140.91 Pr.upf
CELL_PARAMETERS angstrom
-3.264 1.101 4.093
-5.254 -0.902 -0.451
-2.276 -3.983 2.753
ATOMIC_POSITIONS crystal
Mg 0.250 0.250 0.250
Sm 0.000 0.000 0.000
Au 0.750 0.750 0.750
Pr 0.500 0.500 0.500
```

Properties
For the calculated formation energy, the calculation gives -0.36 eV per atom. As for the space-group type: F-43m (216). As for the density of states at the Fermi level: 4.2 states/eV/cell. The value obtained for the relative energy among the computed polymorphs is 7.1 kJ/mol of atoms.



[7]
DFT (PBE) results for crystalline HoLu2Os at its relaxed geometry. Values from VASP.

Cell and atoms, written as Quantum ESPRESSO input:
```
&SYSTEM
  ibrav = 0, nat = 4, ntyp = 3
/
ATOMIC_SPECIES
Lu 174.97 Lu.upf
Os 190.23 Os.upf
Ho 164.93 Ho.upf
CELL_PARAMETERS angstrom
3.351 0.000 0.000
0.000 3.351 0.000
0.000 0.000 8.918
ATOMIC_POSITIONS crystal
Lu 0.000 0.000 0.181
Lu 0.000 0.000 0.819
Os 0.500 0.500 0.000
Ho 0.500 0.500 0.500
```

Properties
For the calculated formation energy, the calculation gives -0.20 eV per atom. As for the space-group type: P4/mmm (123). As for the density of states at the Fermi level: 3.4 states/eV/cell. The value obtained for the relative energy among the computed polymorphs is 0.0 kJ/mol of atoms.



[8]
DFT (PBE) results for crystalline Re2PtBr at its relaxed geometry. Values from VASP.

Cell and atoms, written as Quantum ESPRESSO input:
```
&SYSTEM
  ibrav = 0, nat = 4, ntyp = 3
/
ATOMIC_SPECIES
Re 186.21 Re.upf
Pt 195.08 Pt.upf
Br 79.90 Br.upf
CELL_PARAMETERS angstrom
5.533 -0.008 0.006
2.750 4.802 -0.006
-3.484 -3.533 2.449
ATOMIC_POSITIONS crystal
Re 0.991 0.991 0.000
Re 0.509 0.509 0.000
Pt 0.250 0.750 0.500
Br 0.750 0.250 0.500
```

Properties
The formation energy without anion corrections is 1.092 eV per atom. As for the space-group type: Immm (71). As for the density of states at the Fermi level: 4.3 states/eV/cell. The value obtained for the relative energy among the computed polymorphs is 68.5 kJ/mol of atoms.